1.
Compound: YTlCr2Co
Source: Alexandria via LeMat-Bulk
Functional: PBE
Structure: optimized geometry Values from VASP.

```
&SYSTEM
  ibrav = 0, nat = 5, ntyp = 4
/
ATOMIC_SPECIES
Y 88.91 Y.upf
Tl 204.38 Tl.upf
Cr 52.00 Cr.upf
Co 58.93 Co.upf
ATOMIC_POSITIONS angstrom
Y 0.0000 0.0000 0.0000
Tl 2.5246 2.5246 2.4013
Cr 0.0000 2.5246 2.4013
Cr 2.5246 0.0000 2.4013
Co 2.5246 2.5246 0.0000
CELL_PARAMETERS angstrom
5.0493 0.0000 0.0000
0.0000 5.0493 0.0000
0.0000 0.0000 4.8026
```

Properties
- Energy: -5.787 eV per atom



2.
Compound: HfMnMo2
Source: Alexandria via LeMat-Bulk
Functional: PBE
Structure: optimized geometry Values from VASP.

```
&SYSTEM
  ibrav = 0, nat = 8, ntyp = 3
/
ATOMIC_SPECIES
Hf 178.49 Hf.upf
Mn 54.94 Mn.upf
Mo 95.94 Mo.upf
ATOMIC_POSITIONS angstrom
Hf 0.0000 0.0000 0.0000
Hf 0.0000 3.6011 1.3131
Mn 3.6011 0.0000 1.3131
Mn 0.0000 0.0000 2.6261
Mo 1.8006 -1.4384 1.9696
Mo 2.1627 1.8006 0.6565
Mo 1.8006 5.0395 -0.6565
Mo 1.4384 1.8006 3.2826
CELL_PARAMETERS angstrom
-3.6011 3.6011 2.6261
3.6011 -3.6011 2.6261
3.6011 3.6011 -2.6261
```

Properties
- Polymorph energy (0 for the lowest one): 0.3555 eV/atom



3.
Compound: Te2HRuN
Source: Alexandria via LeMat-Bulk
Functional: PBE
Structure: optimized geometry Values from VASP.

```
&SYSTEM
  ibrav = 0, nat = 5, ntyp = 4
/
ATOMIC_SPECIES
Te 127.60 Te.upf
H 1.01 H.upf
Ru 101.07 Ru.upf
N 14.01 N.upf
ATOMIC_POSITIONS angstrom
Te 0.0000 2.4931 0.0000
Te 2.4931 0.0000 0.0000
H 0.0000 0.0000 0.0000
Ru 2.4931 2.4931 1.4551
N 0.0000 0.0000 1.4551
CELL_PARAMETERS angstrom
4.9862 0.0000 0.0000
0.0000 4.9862 0.0000
0.0000 0.0000 2.9103
```

Properties
- Polymorph energy (0 for the lowest one): 0.2744 eV/atom